No. 1
Entry from Alexandria via LeMat-Bulk: a geometry-optimized Ba3CrFe2O6 structure (GGA+U).

Unit cell a=5.953 b=5.953 c=6.985 alpha=90.00 beta=90.00 gamma=120.00
Sites, in units of the cell vectors:
1 Ba 0.333 0.667 0.654
2 Ba 0.667 0.333 0.346
3 Ba 0.000 0.000 0.000
4 Cr 0.000 0.000 0.500
5 Fe 0.667 0.333 0.772
6 Fe 0.333 0.667 0.228
7 O 0.683 0.841 0.322
8 O 0.159 0.317 0.322
9 O 0.159 0.841 0.322
10 O 0.841 0.683 0.678
11 O 0.317 0.159 0.678
12 O 0.841 0.159 0.678

Results
* space-group type: P-3m1, No. 164
* ρ: 5.20 g cm⁻³
* density of states at the Fermi level: 0.1489 states/eV per atom
* electronic total energy: -6.4158 eV per atom


No. 2
Entry from Alexandria via LeMat-Bulk: a geometry-optimized Ba3CrFe2O8 structure (GGA+U).

Unit cell a=5.778 b=5.778 c=7.475 alpha=90.00 beta=90.00 gamma=120.00
Sites, in units of the cell vectors:
1 Ba 0.333 0.667 0.658
2 Ba 0.667 0.333 0.342
3 Ba 0.000 0.000 0.000
4 Cr 0.000 0.000 0.500
5 Fe 0.333 0.667 0.232
6 Fe 0.667 0.333 0.768
7 O 0.333 0.667 0.992
8 O 0.667 0.333 0.008
9 O 0.159 0.841 0.339
10 O 0.841 0.159 0.661
11 O 0.159 0.318 0.339
12 O 0.841 0.682 0.661
13 O 0.682 0.841 0.339
14 O 0.318 0.159 0.661

Results
* space-group type: P-3m1, No. 164
* ρ: 5.41 g cm⁻³
* electronic total energy: -6.6179 eV per atom